1.
VASP calculation (GGA-PBE) on an optimized crystal structure of Ac12PaCo7.

a = 9.2563 Å, b = 9.2563 Å, c = 9.2563 Å
α = 107.70°, β = 107.70°, γ = 107.70°
With the nearest neighbours (Å) after each atom.
Positions (direct):
Ac1 0.9232 0.3185 0.7771  3 Co 2.83-3.04
Ac2 0.3666 0.4409 0.1514  3 Co 2.87-2.93
Co1 0.3136 0.0961 0.0140  1 Pa 2.71, 4 Ac 2.83-2.93
Ac3 0.8486 0.6334 0.5591  3 Co 2.87-2.93
Co2 0.9039 0.9860 0.6864  1 Pa 2.71, 4 Ac 2.83-2.93
Co3 0.5000 0.5000 0.5000  6 Ac 2.89
Co4 0.0140 0.3136 0.0961  1 Pa 2.71, 4 Ac 2.83-2.93
Ac4 0.2229 0.0768 0.6815  3 Co 2.83-3.04
Ac5 0.1514 0.3666 0.4409  3 Co 2.87-2.93
Ac6 0.0768 0.6815 0.2229  3 Co 2.83-3.04
Ac7 0.6815 0.2229 0.0768  3 Co 2.83-3.04
Ac8 0.3185 0.7771 0.9232  3 Co 2.83-3.04
Ac9 0.6334 0.5591 0.8486  3 Co 2.87-2.93
Ac10 0.4409 0.1514 0.3666  3 Co 2.87-2.93
Co5 0.9860 0.6864 0.9039  1 Pa 2.71, 4 Ac 2.83-2.93
Ac11 0.7771 0.9232 0.3185  3 Co 2.83-3.04
Co6 0.6864 0.9039 0.9860  1 Pa 2.71, 4 Ac 2.83-2.93
Pa1 0.0000 0.0000 0.0000  6 Co 2.71
Co7 0.0961 0.0140 0.3136  1 Pa 2.71, 4 Ac 2.83-2.93
Ac12 0.5591 0.8486 0.6334  3 Co 2.87-2.93

Values from the calculation:
DFT formation energy ... -0.04 eV per atom


2.
VASP calculation (GGA-PBE) on an optimized crystal structure of CuMo2Ru.

a = 4.6974 Å, b = 4.6974 Å, c = 4.7786 Å
α = 81.13°, β = 81.13°, γ = 34.10°
With the nearest neighbours (Å) after each atom.
Positions (direct):
Ru1 0.4978 0.4978 0.4971  7 Mo 2.68-2.82, 3 Cu 2.72-2.77, 2 Ru 2.75
Mo1 0.2449 0.2449 0.2662  3 Ru 2.68-2.69, 4 Cu 2.73-2.79, 5 Mo 2.74-2.86
Cu1 0.7525 0.7525 0.7571  7 Mo 2.65-2.79, 3 Ru 2.72-2.77, 2 Cu 2.75
Mo2 0.0048 0.0048 0.9797  3 Cu 2.65-2.69, 4 Ru 2.70-2.82, 5 Mo 2.74-2.86

Values from the calculation:
DFT formation energy ... 0.21 eV per atom


3.
VASP calculation (GGA-PBE) on an optimized crystal structure of FeCo2.

a = 2.4513 Å, b = 3.9390 Å, c = 6.9992 Å
α = 90.00°, β = 88.25°, γ = 90.00°
With the nearest neighbours (Å) after each atom.
Positions (direct):
Co1 0.9343 0.0000 0.9992  6 Co 2.38-2.51, 2 Fe 2.40
Fe1 0.6461 0.5000 0.8339  5 Co 2.40-2.43, 3 Fe 2.45-2.49
Co2 0.3333 0.0000 0.6667  4 Fe 2.43, 4 Co 2.45-2.50
Co3 0.3333 0.5000 0.1667  2 Fe 2.43, 10 Co 2.45-2.71
Fe2 0.0205 0.5000 0.4994  5 Co 2.40-2.43, 3 Fe 2.45-2.49
Co4 0.7323 0.0000 0.3341  6 Co 2.38-2.51, 2 Fe 2.40

Values from the calculation:
DFT formation energy ... 0.02 eV per atom


4.
VASP calculation (GGA-PBE) on an optimized crystal structure of MgInHg2.

a = 5.6380 Å, b = 3.4216 Å, c = 5.0684 Å
α = 90.06°, β = 90.00°, γ = 90.00°
With the nearest neighbours (Å) after each atom.
Positions (direct):
Mg1 0.5000 0.8667 0.7428  6 Hg 3.03-3.12
Hg1 0.5000 0.3702 0.2371  4 Mg 3.03-3.09, 2 In 3.15
In1 0.0000 0.3809 0.5125  6 Hg 3.04-3.15
Hg2 0.0000 0.8822 0.0076  4 In 3.04-3.08, 2 Mg 3.12

Values from the calculation:
DFT formation energy ... -0.06 eV per atom


| no. | DFT total energy (Ha/atom) | magnetization (μB per formula unit) | Fermi-level density of states (states/eV/atom) |
| --- | --- | --- | --- |
| 1 | -0.2009 | 0.000 | 0.91 |
| 2 | -0.3141 | 0.000 | 1.13 |
| 3 | -0.2770 | 5.940 | 0.92 |
| 4 | -0.0474 | 0.000 | 0.38 |